(1)
This record from the Alexandria database describes a geometry-optimized Ac3In2Sn3 structure. The functional is PBE.

a = 4.659 Å, b = 5.090 Å, c = 21.994 Å
α = 90.00°, β = 90.00°, γ = 90.00°
Space group Immm (No. 71)
Asymmetric unit:
Ac: 0.000 0.000 0.000 [2 per cell]
Ac: 0.000 0.500 0.362 [4 per cell]
In: 0.000 0.000 0.260 [4 per cell]
Sn: 0.000 0.000 0.500 [2 per cell]
Sn: 0.000 0.500 0.114 [4 per cell]

Summary:
The polymorph energy (0 for the lowest one) is 0.0473 eV/atom.

(2)
This record from the Alexandria database describes a geometry-optimized AcIn3Sn3 structure. The functional is PBE.

a = 10.5537 Å, b = 10.5537 Å, c = 4.4805 Å
α = 90.00°, β = 90.00°, γ = 120.00°
Space group P6_3/m (No. 176)
Asymmetric unit:
Ac: 0.3333 0.6667 0.2500 [2 per cell]
In: 0.0482 0.2474 0.7500 [6 per cell]
Sn: 0.0513 0.6094 0.7500 [6 per cell]

Summary:
The polymorph energy (0 for the lowest one) is 0.0000 eV/atom.

(3)
This record from the Alexandria database describes a geometry-optimized Ac3InSn4 structure. The functional is PBE.

a = 4.909 Å, b = 7.036 Å, c = 16.899 Å
α = 90.00°, β = 90.00°, γ = 90.00°
Space group Immm (No. 71)
Asymmetric unit:
Ac: 0.000 0.000 0.000 [2 per cell]
Ac: 0.000 0.500 0.186 [4 per cell]
In: 0.000 0.000 0.500 [2 per cell]
Sn: 0.000 0.296 0.374 [8 per cell]

(4)
This record from the Alexandria database describes a geometry-optimized Ac3InSn2 structure. The functional is PBE.

a = 9.0598 Å, b = 9.0598 Å, c = 20.0232 Å
α = 90.00°, β = 90.00°, γ = 120.00°
Space group R-3c (No. 167, hexagonal axes)
Asymmetric unit:
Ac: 0.0000 0.3305 0.2500 [18 per cell]
In: 0.0000 0.0000 0.0000 [6 per cell]
Sn: 0.0000 0.0000 0.1660 [12 per cell]

Summary:
The polymorph energy (0 for the lowest one) is 0.1092 eV/atom.

(5)
This record from the Alexandria database describes a geometry-optimized Ac6In6Sn structure. The functional is PBE.

a = 6.8150 Å, b = 6.8150 Å, c = 11.5341 Å
α = 90.00°, β = 90.00°, γ = 120.00°
Space group P6/mmm (No. 191)
Asymmetric unit:
Ac: 0.0000 0.0000 0.2061 [2 per cell]
Ac: 0.3333 0.6667 0.0000 [2 per cell]
Ac: 0.3333 0.6667 0.5000 [2 per cell]
In: 0.0000 0.5000 0.2483 [6 per cell]
Sn: 0.0000 0.0000 0.5000 [1 per cell]

(6)
This record from the Alexandria database describes a geometry-optimized AcIn3Sn3 structure. The functional is PBE.

a = 8.005 Å, b = 8.005 Å, c = 8.005 Å
α = 90.00°, β = 90.00°, γ = 90.00°
Space group Pm-3n (No. 223)
Asymmetric unit:
Ac: 0.000 0.000 0.000 [2 per cell]
In: 0.000 0.250 0.500 [6 per cell]
Sn: 0.000 0.500 0.250 [6 per cell]

Summary:
The polymorph energy (0 for the lowest one) is 0.3831 eV/atom.

(7)
This record from the Alexandria database describes a geometry-optimized Ac4In3Sn5 structure. The functional is PBE.

a = 15.016 Å, b = 5.347 Å, c = 13.716 Å
α = 90.00°, β = 122.72°, γ = 90.00°
Space group C2/m (No. 12)
Asymmetric unit:
Ac: 0.118 0.000 0.473 [4 per cell]
Ac: 0.242 0.000 0.809 [4 per cell]
In: 0.000 0.000 0.000 [2 per cell]
In: 0.147 0.500 0.902 [4 per cell]
Sn: 0.000 0.500 0.000 [2 per cell]
Sn: 0.058 0.500 0.641 [4 per cell]
Sn: 0.232 0.000 0.327 [4 per cell]

(8)
This record from the Alexandria database describes a geometry-optimized Ac6In5Sn structure. The functional is PBE.

a = 5.809 Å, b = 8.198 Å, c = 17.417 Å
α = 90.00°, β = 90.00°, γ = 90.00°
Space group Immm (No. 71)
Asymmetric unit:
Ac: 0.000 0.246 0.000 [4 per cell]
Ac: 0.000 0.252 0.335 [8 per cell]
In: 0.000 0.000 0.172 [4 per cell]
In: 0.000 0.000 0.500 [2 per cell]
In: 0.000 0.500 0.166 [4 per cell]
Sn: 0.000 0.500 0.500 [2 per cell]

no.,total DFT energy (no corrections) (eV per atom)
1,-4.18
2,-3.67
3,-4.34
4,-4.32
5,-3.79
6,-3.29
7,-3.96
8,-3.98